Entry 1:
{"formula": "CsAlAgTe3", "functional": "PBE", "state": "relaxed", "lattice": [[8.672, -3.559, 0.000], [8.672, 3.559, 0.000], [-2.466, 0.000, 8.638]], "species": ["Cs", "Cs", "Al", "Al", "Ag", "Ag", "Te", "Te", "Te", "Te", "Te", "Te"], "frac_coords": [[0.227, 0.227, 0.225], [0.773, 0.773, 0.775], [0.460, 0.460, 0.753], [0.540, 0.540, 0.247], [0.282, 0.718, 0.500], [0.718, 0.282, 0.500], [0.166, 0.697, 0.195], [0.303, 0.834, 0.805], [0.312, 0.312, 0.678], [0.688, 0.688, 0.322], [0.697, 0.166, 0.195], [0.834, 0.303, 0.805]], "m_tot_mub_per_cell": 0.0, "dft_energy_ry_per_atom": -0.235}

---

Entry 2:
{"formula": "Sn2PtSN", "functional": "PBE", "state": "relaxed", "lattice": [[5.268, 0.000, 0.000], [0.000, 5.268, 0.000], [0.000, 0.000, 3.797]], "species": ["Sn", "Sn", "Pt", "S", "N"], "frac_coords": [[0.000, 0.500, 0.000], [0.500, 0.000, 0.000], [0.000, 0.000, 0.500], [0.500, 0.500, 0.500], [0.000, 0.000, 0.000]], "m_tot_mub_per_cell": 0.0, "dft_energy_ry_per_atom": -0.370}

---

Entry 3:
{"formula": "Pr3Nd3Zn2Hg", "functional": "PBE", "state": "relaxed", "lattice": [[8.809, 0.000, 0.000], [-4.404, 7.629, 0.000], [0.000, 0.000, 3.951]], "species": ["Pr", "Pr", "Pr", "Nd", "Nd", "Nd", "Zn", "Zn", "Hg"], "frac_coords": [[0.000, 0.710, 0.000], [0.290, 0.290, 0.000], [0.710, 0.000, 0.000], [0.000, 0.384, 0.500], [0.384, 0.000, 0.500], [0.616, 0.616, 0.500], [0.333, 0.667, 0.000], [0.667, 0.333, 0.000], [0.000, 0.000, 0.500]], "m_tot_mub_per_cell": 0.0, "dft_energy_ry_per_atom": -0.270, "e_form_ev_per_fu": -1.5}

---

Entry 4:
{"formula": "SrMg3Ag9", "functional": "PBE", "state": "relaxed", "lattice": [[2.826, -6.870, 0.000], [2.826, 6.870, 0.000], [-2.699, 0.000, 6.765]], "species": ["Sr", "Mg", "Mg", "Mg", "Ag", "Ag", "Ag", "Ag", "Ag", "Ag", "Ag", "Ag", "Ag"], "frac_coords": [[0.000, 0.000, 0.000], [0.000, 0.500, 0.000], [0.500, 0.000, 0.000], [0.500, 0.500, 0.500], [0.000, 0.000, 0.500], [0.009, 0.656, 0.650], [0.284, 0.507, 0.781], [0.344, 0.991, 0.350], [0.493, 0.716, 0.219], [0.507, 0.284, 0.781], [0.656, 0.009, 0.650], [0.716, 0.493, 0.219], [0.991, 0.344, 0.350]], "m_tot_mub_per_cell": 0.0, "dft_energy_ry_per_atom": -0.192, "e_form_ev_per_fu": -1.9}

---

Entry 5:
{"formula": "Rb2SnBr2Cl2", "functional": "PBE", "state": "relaxed", "lattice": [[-2.787, 2.787, 8.812], [2.787, -2.787, 8.812], [2.787, 2.787, -8.812]], "species": ["Rb", "Rb", "Sn", "Br", "Br", "Cl", "Cl"], "frac_coords": [[0.137, 0.137, 0.000], [0.863, 0.863, 0.000], [0.500, 0.500, 0.000], [0.331, 0.331, 0.000], [0.669, 0.669, 0.000], [0.000, 0.500, 0.500], [0.500, 0.000, 0.500]], "m_tot_mub_per_cell": 0.0, "dft_energy_ry_per_atom": -0.243}

---

Entry 6:
{"formula": "ScSi2Tc2", "functional": "PBE", "state": "relaxed", "lattice": [[-2.102, 2.102, 4.783], [2.102, -2.102, 4.783], [2.102, 2.102, -4.783]], "species": ["Sc", "Si", "Si", "Tc", "Tc"], "frac_coords": [[0.000, 0.000, 0.000], [0.250, 0.750, 0.500], [0.750, 0.250, 0.500], [0.380, 0.380, 0.000], [0.620, 0.620, 0.000]], "m_tot_mub_per_cell": 0.0, "dft_energy_ry_per_atom": -0.577}

---

Entry 7:
{"formula": "Tb2AgIr", "functional": "PBE", "state": "relaxed", "lattice": [[3.505, 0.000, 0.000], [0.000, 3.505, 0.000], [0.000, 0.000, 7.343]], "species": ["Tb", "Tb", "Ag", "Ir"], "frac_coords": [[0.000, 0.000, 0.225], [0.000, 0.000, 0.775], [0.500, 0.500, 0.500], [0.500, 0.500, 0.000]], "m_tot_mub_per_cell": 0.0, "dft_energy_ry_per_atom": -0.428, "e_form_ev_per_fu": -2.3}

---

Entry 8:
{"formula": "SbMoAsCl2", "functional": "PBE", "state": "relaxed", "lattice": [[4.771, 0.000, 0.000], [0.000, 4.771, 0.000], [0.000, 0.000, 5.315]], "species": ["Sb", "Mo", "As", "Cl", "Cl"], "frac_coords": [[0.000, 0.000, 0.000], [0.500, 0.500, 0.500], [0.500, 0.500, 0.000], [0.000, 0.500, 0.500], [0.500, 0.000, 0.500]], "m_tot_mub_per_cell": 3.4, "dft_energy_ry_per_atom": -0.328}

---

Entry 9:
{"formula": "CSeS2", "functional": "PBE", "state": "relaxed", "lattice": [[2.276, 1.314, 5.828], [-2.276, 1.314, 5.828], [0.000, -2.628, 5.828]], "species": ["C", "Se", "S", "S"], "frac_coords": [[0.000, 0.000, 0.000], [0.500, 0.500, 0.500], [0.090, 0.090, 0.090], [0.910, 0.910, 0.910]], "m_tot_mub_per_cell": 0.0, "dft_energy_ry_per_atom": -0.334}

---

Entry 10:
{"formula": "DyPa3S6", "functional": "PBE", "state": "relaxed", "lattice": [[10.958, 0.000, 0.000], [0.000, 3.844, 0.000], [-3.346, 0.000, 10.879]], "species": ["Dy", "Dy", "Pa", "Pa", "Pa", "Pa", "Pa", "Pa", "S", "S", "S", "S", "S", "S", "S", "S", "S", "S", "S", "S"], "frac_coords": [[0.044, 0.250, 0.192], [0.956, 0.750, 0.808], [0.148, 0.250, 0.571], [0.318, 0.750, 0.998], [0.422, 0.250, 0.336], [0.578, 0.750, 0.664], [0.682, 0.250, 0.002], [0.852, 0.750, 0.429], [0.084, 0.750, 0.389], [0.116, 0.250, 0.964], [0.193, 0.750, 0.748], [0.250, 0.750, 0.217], [0.397, 0.250, 0.572], [0.490, 0.250, 0.125], [0.510, 0.750, 0.875], [0.603, 0.750, 0.428], [0.750, 0.250, 0.783], [0.807, 0.250, 0.252], [0.884, 0.750, 0.036], [0.916, 0.250, 0.611]], "m_tot_mub_per_cell": 8.2, "dft_energy_ry_per_atom": -0.546}

---

Entry 11:
{"formula": "LaMoBr2", "functional": "PBE", "state": "relaxed", "lattice": [[-2.436, 2.436, 9.385], [2.436, -2.436, 9.385], [2.436, 2.436, -9.385]], "species": ["La", "La", "Mo", "Mo", "Br", "Br", "Br", "Br"], "frac_coords": [[0.000, 0.000, 0.000], [0.750, 0.250, 0.500], [0.250, 0.750, 0.500], [0.500, 0.500, 0.000], [0.153, 0.625, 0.028], [0.375, 0.403, 0.528], [0.597, 0.125, 0.972], [0.875, 0.847, 0.472]], "m_tot_mub_per_cell": 6.0, "dft_energy_ry_per_atom": -0.359}

---

Entry 12:
{"formula": "La5Pt4Cl", "functional": "PBE", "state": "relaxed", "lattice": [[-2.128, 2.128, 15.135], [2.128, -2.128, 15.135], [2.128, 2.128, -15.135]], "species": ["La", "La", "La", "La", "La", "Pt", "Pt", "Pt", "Pt", "Cl"], "frac_coords": [[0.000, 0.000, 0.000], [0.199, 0.199, 0.000], [0.394, 0.394, 0.000], [0.606, 0.606, 0.000], [0.801, 0.801, 0.000], [0.096, 0.096, 0.000], [0.298, 0.298, 0.000], [0.702, 0.702, 0.000], [0.904, 0.904, 0.000], [0.500, 0.500, 0.000]], "m_tot_mub_per_cell": 0.0, "dft_energy_ry_per_atom": -0.465}